The following is a PBE calculation of a relaxed TbSm2Dy5Th crystal, from Alexandria.

Results
DFT formation energy	0.161	eV/atom
Fermi-level density of states	1.42	states/eV per atom
calculated volume	601.7	Å³ per cell

a = 5.719 Å, b = 11.141 Å, c = 9.771 Å
α = 90.00°, β = 90.00°, γ = 104.87°
Fractional coordinates of all 18 atoms:
Dy: 0.729 0.458 0.826
Dy: 0.470 0.939 0.742
Dy: 0.015 0.029 0.017
Dy: 0.398 0.796 0.042
Dy: 0.985 0.971 0.517
Dy: 0.271 0.542 0.326
Dy: 0.602 0.204 0.542
Dy: 0.305 0.611 0.716
Dy: 0.530 0.061 0.242
Dy: 0.695 0.389 0.216
Sm: 0.885 0.770 0.828
Sm: 0.115 0.230 0.328
Sm: 0.870 0.740 0.211
Sm: 0.130 0.260 0.711
Th: 0.595 0.190 0.925
Th: 0.405 0.810 0.425
Tb: 0.191 0.381 0.017
Tb: 0.809 0.619 0.517